The following is a DFT calculation (PBE-GGA) of an optimized crystal structure of Pa3CoTe2.

Cell and atoms, written as POSCAR:
```
Pa3CoTe2
1.0
3.5698 -6.1763 0.0000
3.5698 6.1763 0.0000
-2.4207 0.0000 7.1585
Pa Co Te
6 2 4
direct
0.0583 0.4318 0.7910
0.1955 0.1955 0.1999
0.4318 0.0583 0.7910
0.5682 0.9417 0.2090
0.8045 0.8045 0.8001
0.9417 0.5682 0.2090
0.1676 0.8324 0.0000
0.8324 0.1676 0.0000
0.0000 0.0000 0.5000
0.3501 0.6499 0.5000
0.5000 0.5000 0.0000
0.6499 0.3501 0.5000
```

Output
- Crystal system: monoclinic



The following is a DFT calculation (PBE-GGA) of an optimized crystal structure of Pa3Co5Te12.

Cell and atoms, written as POSCAR:
```
Pa3Co5Te12
1.0
-8.1126 8.1126 8.1126
8.1126 -8.1126 8.1126
8.1126 8.1126 -8.1126
Pa Co Te
12 20 48
direct
0.1250 0.2500 0.3750
0.1250 0.3750 0.7500
0.2500 0.3750 0.1250
0.2500 0.8750 0.6250
0.3750 0.1250 0.2500
0.3750 0.7500 0.1250
0.6250 0.2500 0.8750
0.6250 0.8750 0.7500
0.7500 0.1250 0.3750
0.7500 0.6250 0.8750
0.8750 0.6250 0.2500
0.8750 0.7500 0.6250
0.0000 0.0000 0.0000
0.0000 0.0000 0.5000
0.0000 0.5000 0.0000
0.0000 0.5000 0.5000
0.1250 0.7500 0.8750
0.1250 0.8750 0.2500
0.2500 0.1250 0.8750
0.2500 0.6250 0.3750
0.3750 0.2500 0.6250
0.3750 0.6250 0.7500
0.5000 0.0000 0.0000
0.5000 0.0000 0.5000
0.5000 0.5000 0.0000
0.5000 0.5000 0.5000
0.6250 0.3750 0.2500
0.6250 0.7500 0.3750
0.7500 0.3750 0.6250
0.7500 0.8750 0.1250
0.8750 0.1250 0.7500
0.8750 0.2500 0.1250
0.0282 0.2042 0.1155
0.0282 0.3240 0.9127
0.0873 0.6155 0.4113
0.0873 0.9718 0.6760
0.0887 0.7042 0.6760
0.0887 0.8845 0.4127
0.1155 0.0282 0.2042
0.1155 0.5873 0.9113
0.1760 0.2042 0.5887
0.1760 0.4718 0.5873
0.2042 0.1155 0.0282
0.2042 0.5887 0.1760
0.2958 0.3240 0.9113
0.2958 0.4718 0.3845
0.3240 0.9113 0.2958
0.3240 0.9127 0.0282
0.3845 0.2958 0.4718
0.3845 0.5887 0.9127
0.4113 0.0873 0.6155
0.4113 0.8240 0.7958
0.4127 0.0887 0.8845
0.4127 0.8240 0.5282
0.4718 0.3845 0.2958
0.4718 0.5873 0.1760
0.5282 0.4127 0.8240
0.5282 0.6155 0.7042
0.5873 0.1760 0.4718
0.5873 0.9113 0.1155
0.5887 0.1760 0.2042
0.5887 0.9127 0.3845
0.6155 0.4113 0.0873
0.6155 0.7042 0.5282
0.6760 0.0873 0.9718
0.6760 0.0887 0.7042
0.7042 0.5282 0.6155
0.7042 0.6760 0.0887
0.7958 0.4113 0.8240
0.7958 0.8845 0.9718
0.8240 0.5282 0.4127
0.8240 0.7958 0.4113
0.8845 0.4127 0.0887
0.8845 0.9718 0.7958
0.9113 0.1155 0.5873
0.9113 0.2958 0.3240
0.9127 0.0282 0.3240
0.9127 0.3845 0.5887
0.9718 0.6760 0.0873
0.9718 0.7958 0.8845
```

Output
- Crystal system: cubic



Number 1: uncorrected energy -90.1 eV/cell, DOS(E_F) 2.090 states/eV/atom. Number 2: uncorrected energy -431.8 eV/cell, DOS(E_F) 1.188 states/eV/atom.